(1)
Density functional theory data (PBE) for crystalline V3IN at its relaxed geometry. Values from VASP.

Cell and atoms, written as Quantum ESPRESSO input:
```
&SYSTEM
  ibrav = 0, nat = 5, ntyp = 3
/
ATOMIC_SPECIES
V 50.94 V.upf
N 14.01 N.upf
I 126.90 I.upf
ATOMIC_POSITIONS angstrom
V -1.861 -0.194 -0.789
V -0.077 2.005 -0.311
V -0.808 0.256 1.845
N 0.000 0.000 0.000
I -2.746 2.067 0.745
CELL_PARAMETERS angstrom
-0.154 4.010 -0.623
-3.722 -0.387 -1.577
-1.617 0.511 3.690
```

volume = 13.40 Å³ per atom
space-group type = No. 221
DOS(E_F) = 0.82 states/eV per atom

***

(2)
Density functional theory data (PBE) for crystalline V3IN at its relaxed geometry. Values from VASP.

Cell and atoms, written as Quantum ESPRESSO input:
```
&SYSTEM
  ibrav = 0, nat = 5, ntyp = 3
/
ATOMIC_SPECIES
V 50.94 V.upf
I 126.90 I.upf
N 14.01 N.upf
ATOMIC_POSITIONS angstrom
V 1.103 -0.345 -2.317
V -1.051 -2.362 -0.148
V 2.094 -1.004 1.146
I 0.000 0.000 0.000
N 2.146 -3.711 -1.319
CELL_PARAMETERS angstrom
-2.102 -4.724 -0.297
2.206 -0.690 -4.634
4.187 -2.007 2.292
```

volume = 27.77 Å³ per atom
space-group type = No. 221
DOS(E_F) = 1.80 states/eV per atom

***

(1) is the most stable structure; the next one sits 2489 meV/atom above it.

***

(1)
Density functional theory data (PBE) for crystalline VI3N at its relaxed geometry. Values from VASP.

Cell and atoms, written as Quantum ESPRESSO input:
```
&SYSTEM
  ibrav = 0, nat = 5, ntyp = 3
/
ATOMIC_SPECIES
N 14.01 N.upf
I 126.90 I.upf
V 50.94 V.upf
ATOMIC_POSITIONS angstrom
N -4.745 -0.062 0.770
I -1.379 1.757 1.647
I -1.945 0.307 -1.956
I -1.421 -2.126 1.079
V 0.000 0.000 0.000
CELL_PARAMETERS angstrom
-3.890 0.614 -3.913
-2.842 -4.253 2.158
-2.759 3.515 3.295
```

volume = 34.22 Å³ per atom
space-group type = No. 221
DOS(E_F) = 1.63 states/eV per atom

***

(2)
Density functional theory data (PBE) for crystalline VI3N at its relaxed geometry. Values from VASP.

Cell and atoms, written as Quantum ESPRESSO input:
```
&SYSTEM
  ibrav = 0, nat = 5, ntyp = 3
/
ATOMIC_SPECIES
I 126.90 I.upf
N 14.01 N.upf
V 50.94 V.upf
ATOMIC_POSITIONS angstrom
I 0.000 2.518 0.000
I 0.000 0.000 2.518
I 2.518 0.000 0.000
N 0.000 0.000 0.000
V 2.518 2.518 2.518
CELL_PARAMETERS angstrom
5.036 0.000 0.000
0.000 5.036 0.000
0.000 0.000 5.036
```

volume = 25.54 Å³ per atom
space-group type = No. 221
DOS(E_F) = 1.45 states/eV per atom

***

(1) is the most stable structure; the next one sits 284 meV/atom above it.

***

(1)
Density functional theory data (PBE) for crystalline VWIN2 at its relaxed geometry. Values from VASP.

Cell and atoms, written as Quantum ESPRESSO input:
```
&SYSTEM
  ibrav = 0, nat = 5, ntyp = 4
/
ATOMIC_SPECIES
N 14.01 N.upf
I 126.90 I.upf
V 50.94 V.upf
W 183.84 W.upf
ATOMIC_POSITIONS angstrom
N 1.946 0.000 0.000
N 0.000 1.946 0.000
I 0.000 0.000 2.764
V 0.000 0.000 0.000
W 1.946 1.946 2.764
CELL_PARAMETERS angstrom
3.892 0.000 0.000
0.000 3.892 0.000
0.000 0.000 5.528
```

volume = 16.75 Å³ per atom
space-group type = No. 123
DOS(E_F) = 0.72 states/eV per atom

***

(2)
Density functional theory data (PBE) for crystalline VWIN2 at its relaxed geometry. Values from VASP.

Cell and atoms, written as Quantum ESPRESSO input:
```
&SYSTEM
  ibrav = 0, nat = 5, ntyp = 4
/
ATOMIC_SPECIES
N 14.01 N.upf
V 50.94 V.upf
I 126.90 I.upf
W 183.84 W.upf
ATOMIC_POSITIONS angstrom
N -0.283 1.932 0.341
N -1.959 -0.299 0.070
V -2.069 1.160 3.240
I 0.173 -0.473 2.830
W 0.000 0.000 0.000
CELL_PARAMETERS angstrom
-0.567 3.865 0.681
-3.917 -0.599 0.139
0.346 -0.947 5.659
```

volume = 18.07 Å³ per atom
space-group type = No. 123
DOS(E_F) = 0.68 states/eV per atom

***

(2) is the most stable structure; the next one sits 654 meV/atom above it.

***

(1)
Density functional theory data (PBE) for crystalline ZrVI2N at its relaxed geometry. Values from VASP.

Cell and atoms, written as Quantum ESPRESSO input:
```
&SYSTEM
  ibrav = 0, nat = 5, ntyp = 4
/
ATOMIC_SPECIES
V 50.94 V.upf
Zr 91.22 Zr.upf
I 126.90 I.upf
N 14.01 N.upf
ATOMIC_POSITIONS angstrom
V 0.000 0.000 0.000
Zr 2.803 2.803 1.830
I 2.803 0.000 0.000
I 0.000 2.803 0.000
N 0.000 0.000 1.830
CELL_PARAMETERS angstrom
5.606 0.000 0.000
0.000 5.606 0.000
0.000 0.000 3.659
```

volume = 23.00 Å³ per atom
space-group type = No. 123
DOS(E_F) = 1.08 states/eV per atom

***

(2)
Density functional theory data (PBE) for crystalline ZrVI2N at its relaxed geometry. Values from VASP.

Cell and atoms, written as Quantum ESPRESSO input:
```
&SYSTEM
  ibrav = 0, nat = 5, ntyp = 4
/
ATOMIC_SPECIES
N 14.01 N.upf
I 126.90 I.upf
Zr 91.22 Zr.upf
V 50.94 V.upf
ATOMIC_POSITIONS angstrom
N 0.000 0.000 1.997
I 2.959 0.000 0.000
I 0.000 2.959 0.000
Zr 0.000 0.000 0.000
V 2.959 2.959 1.997
CELL_PARAMETERS angstrom
5.919 0.000 0.000
0.000 5.919 0.000
0.000 0.000 3.994
```

volume = 27.99 Å³ per atom
space-group type = No. 123
DOS(E_F) = 0.95 states/eV per atom

***

(1) is the most stable structure; the next one sits 62 meV/atom above it.

***

(1)
Density functional theory data (PBE) for crystalline ZrVIN2 at its relaxed geometry. Values from VASP.

Cell and atoms, written as Quantum ESPRESSO input:
```
&SYSTEM
  ibrav = 0, nat = 5, ntyp = 4
/
ATOMIC_SPECIES
N 14.01 N.upf
V 50.94 V.upf
I 126.90 I.upf
Zr 91.22 Zr.upf
ATOMIC_POSITIONS angstrom
N -0.278 -1.934 0.304
N -0.272 0.342 1.929
V 0.000 0.000 0.000
I 2.535 -0.300 0.410
Zr 1.985 -1.893 2.643
CELL_PARAMETERS angstrom
-0.544 0.684 3.858
-0.556 -3.869 0.607
5.070 -0.600 0.821
```

volume = 16.18 Å³ per atom
space-group type = No. 123
DOS(E_F) = 0.67 states/eV per atom

***

(2)
Density functional theory data (PBE) for crystalline ZrVIN2 at its relaxed geometry. Values from VASP.

Cell and atoms, written as Quantum ESPRESSO input:
```
&SYSTEM
  ibrav = 0, nat = 5, ntyp = 4
/
ATOMIC_SPECIES
V 50.94 V.upf
Zr 91.22 Zr.upf
I 126.90 I.upf
N 14.01 N.upf
ATOMIC_POSITIONS angstrom
V -1.639 -1.866 -3.399
Zr 0.000 0.000 0.000
I -2.411 -1.684 -0.545
N 1.173 -1.311 -1.137
N -0.401 1.130 -1.718
CELL_PARAMETERS angstrom
-0.802 2.260 -3.435
2.346 -2.623 -2.273
-4.822 -3.368 -1.090
```

volume = 21.00 Å³ per atom
space-group type = No. 123
DOS(E_F) = 0.75 states/eV per atom

***

(1) is the most stable structure; the next one sits 71 meV/atom above it.

***

(1)
Density functional theory data (PBE) for crystalline W3IN at its relaxed geometry. Values from VASP.

Cell and atoms, written as Quantum ESPRESSO input:
```
&SYSTEM
  ibrav = 0, nat = 5, ntyp = 3
/
ATOMIC_SPECIES
N 14.01 N.upf
W 183.84 W.upf
I 126.90 I.upf
ATOMIC_POSITIONS angstrom
N 0.000 0.000 0.000
W 0.000 0.000 2.134
W 0.000 2.134 0.000
W 2.134 0.000 0.000
I 2.134 2.134 2.134
CELL_PARAMETERS angstrom
4.267 0.000 0.000
0.000 4.267 0.000
0.000 0.000 4.267
```

volume = 15.54 Å³ per atom
space-group type = No. 221
DOS(E_F) = 0.69 states/eV per atom

***

(2)
Density functional theory data (PBE) for crystalline W3IN at its relaxed geometry. Values from VASP.

Cell and atoms, written as Quantum ESPRESSO input:
```
&SYSTEM
  ibrav = 0, nat = 5, ntyp = 3
/
ATOMIC_SPECIES
W 183.84 W.upf
N 14.01 N.upf
I 126.90 I.upf
ATOMIC_POSITIONS angstrom
W 2.427 0.000 0.000
W 0.000 0.000 2.427
W 0.000 2.427 0.000
N 2.427 2.427 2.427
I 0.000 0.000 0.000
CELL_PARAMETERS angstrom
4.855 0.000 0.000
0.000 4.855 0.000
0.000 0.000 4.855
```

volume = 22.88 Å³ per atom
space-group type = No. 221
DOS(E_F) = 0.37 states/eV per atom

***

(1) is the most stable structure; the next one sits 3028 meV/atom above it.